First-principles (PBE with a Hubbard U) data for an optimized crystal structure of WINF2, as listed in Alexandria.

abc: 4.8702 4.8702 4.1247
angles: 90.00 90.00 90.00
With the nearest neighbours (Å) after each atom.
Element x y z (fractional)
W 0.5000 0.5000 0.5000  8 F 3.19, 4 N 3.44
N 0.0000 0.0000 0.5000  2 I 2.06
I 0.0000 0.0000 0.0000  2 N 2.06
F 0.0000 0.5000 0.0000  2 I 2.44
F 0.5000 0.0000 0.0000  2 I 2.44

Computed properties:
Energy above the most stable polymorph in this dataset = 1411 meV per atom
SG = No. 123
Mass density = 6.16 g cm⁻³